a:
Entry from the Alexandria database: an optimized crystal structure of Ba3InAg3 (PBE-GGA).

Cell: 6.795 9.954 9.954 Å, 120.00 90.00 90.00°
Element x y z (fractional)
Ba (0.750, 0.692, 0.629)
Ag (0.250, 0.936, 0.306)
Ag (0.750, 0.064, 0.694)
Ba (0.250, 0.308, 0.371)
Ba (0.250, 0.629, 0.936)
In (0.250, 0.667, 0.333)
Ag (0.250, 0.370, 0.064)
Ag (0.250, 0.694, 0.630)
In (0.750, 0.333, 0.667)
Ag (0.750, 0.306, 0.370)
Ba (0.750, 0.936, 0.308)
Ba (0.250, 0.064, 0.692)
Ag (0.750, 0.630, 0.936)
Ba (0.750, 0.371, 0.064)

Properties
D(E_F)	0.70	states/eV per atom
symmetry	P6_3/m
calculated density	4.844	g/cm3

---

b:
Entry from the Alexandria database: an optimized crystal structure of Ba3InAg3 (PBE-GGA).

Cell: 4.854 6.551 16.064 Å, 90.00 90.00 111.75°
Element x y z (fractional)
Ag (0.074, 0.147, 0.406)
In (0.500, 0.000, 0.500)
In (0.500, 0.000, 0.000)
Ba (0.786, 0.571, 0.400)
Ag (0.074, 0.147, 0.094)
Ag (0.926, 0.853, 0.906)
Ag (0.797, 0.593, 0.750)
Ag (0.203, 0.407, 0.250)
Ba (0.498, 0.997, 0.750)
Ba (0.502, 0.003, 0.250)
Ba (0.214, 0.429, 0.900)
Ba (0.214, 0.429, 0.600)
Ba (0.786, 0.571, 0.100)
Ag (0.926, 0.853, 0.594)

Properties
D(E_F)	0.76	states/eV per atom
symmetry	Cmcm
calculated density	5.953	g/cm3

---

Compare the structures above. Which one is the least stable? a is.